[1]
Here is a relaxed PaMn2BC crystal from Alexandria via LeMat-Bulk. Energies are from PBE-GGA.

Cell lengths 3.575, 9.955, 6.728 Å; angles 90.00, 90.00, 90.00 degrees
Space group Cmcm (No. 63)
Symmetry-distinct sites (fractional):
Pa  0.000  0.041  0.250 x4
Mn  0.000  0.314  0.062 x8
B  0.000  0.238  0.750 x4
C  0.000  0.500  0.000 x4

Computed properties:
uncorrected energy	-182.0	eV/cell
M_tot	0.00	μB/f.u.
energy of formation	-351	meV per atom
theoretical density	10.090	g cm⁻³

=====

[2]
Here is a relaxed Pd2IF crystal from Alexandria via LeMat-Bulk. Energies are from PBE-GGA.

Cell lengths 6.463, 6.463, 6.463 Å; angles 90.00, 90.00, 90.00 degrees
Space group Fm-3m (No. 225)
Symmetry-distinct sites (fractional):
Pd  0.250  0.250  0.250 x8
I  0.000  0.000  0.000 x4
F  0.000  0.000  0.500 x4

Computed properties:
uncorrected energy	-59.0	eV/cell
M_tot	0.00	μB/f.u.
theoretical density	8.828	g cm⁻³
energy above the lowest structure with this stoichiometry	0.00	kJ/mol of atoms

=====

[3]
Here is a relaxed K12Te3F5 crystal from Alexandria via LeMat-Bulk. Energies are from PBE-GGA.

Cell lengths 17.793, 17.793, 17.793 Å; angles 90.00, 90.00, 90.00 degrees
Space group Ia-3d (No. 230)
Symmetry-distinct sites (fractional):
K  0.032  0.052  0.650 x96
Te  0.000  0.250  0.125 x24
F  0.000  0.000  0.000 x16
F  0.000  0.250  0.375 x24

Computed properties:
uncorrected energy	-534.2	eV/cell
M_tot	0.00	μB/f.u.
theoretical density	2.233	g cm⁻³

=====

[4]
Here is a relaxed NaSi crystal from Alexandria via LeMat-Bulk. Energies are from PBE-GGA.

Cell lengths 5.458, 8.915, 14.558 Å; angles 90.00, 90.00, 90.00 degrees
Space group Fddd (No. 70, origin choice 2)
Symmetry-distinct sites (fractional):
Na  0.125  0.289  0.125 x16
Si  0.125  0.125  0.546 x16

Computed properties:
uncorrected energy	-101.5	eV/cell
M_tot	0.00	μB/f.u.
theoretical density	1.916	g cm⁻³
energy above the lowest structure with this stoichiometry	20.53	kJ/mol of atoms

=====

[5]
Here is a relaxed PmPuMoN3 crystal from Alexandria via LeMat-Bulk. Energies are from PBE-GGA.

Cell lengths 7.334, 3.348, 7.814 Å; angles 90.00, 97.06, 90.00 degrees
Space group P2_1/m (No. 11)
Symmetry-distinct sites (fractional):
Pm  0.157  0.250  0.182 x2
Pu  0.362  0.750  0.842 x2
Mo  0.110  0.250  0.582 x2
N  0.125  0.250  0.849 x2
N  0.177  0.750  0.426 x2
N  0.417  0.750  0.119 x2

Computed properties:
uncorrected energy	-120.2	eV/cell
M_tot	4.63	μB/f.u.
theoretical density	9.190	g cm⁻³

=====

[6]
Here is a relaxed PuIn2Te4 crystal from Alexandria via LeMat-Bulk. Energies are from PBE-GGA.

Cell lengths 6.415, 6.415, 7.099 Å; angles 90.00, 90.00, 90.00 degrees
Space group P-42m (No. 111)
Symmetry-distinct sites (fractional):
Pu  0.000  0.000  0.000 x1
In  0.000  0.500  0.500 x2
Te  0.277  0.277  0.253 x4

Computed properties:
uncorrected energy	-35.0	eV/cell
M_tot	5.87	μB/f.u.
theoretical density	5.593	g cm⁻³

=====

[7]
Here is a relaxed CaPm6Sm6 crystal from Alexandria via LeMat-Bulk. Energies are from PBE-GGA.

Cell lengths 6.8299, 6.8299, 11.5442 Å; angles 90.00, 90.00, 120.00 degrees
Space group P6/mmm (No. 191)
Symmetry-distinct sites (fractional):
Ca  0.0000  0.0000  0.0000 x1
Pm  0.0000  0.0000  0.3496 x2
Pm  0.3333  0.6667  0.0000 x2
Pm  0.3333  0.6667  0.5000 x2
Sm  0.0000  0.5000  0.2499 x6

Computed properties:
uncorrected energy	-55.5	eV/cell
M_tot	0.00	μB/f.u.
energy of formation	253	meV per atom
theoretical density	6.453	g cm⁻³

=====

[8]
Here is a relaxed NpGaFe2 crystal from Alexandria via LeMat-Bulk. Energies are from PBE-GGA.

Cell lengths 2.851, 2.851, 6.631 Å; angles 90.00, 90.00, 90.00 degrees
Space group P4/mmm (No. 123)
Symmetry-distinct sites (fractional):
Np  0.000  0.000  0.000 x1
Ga  0.000  0.000  0.500 x1
Fe  0.500  0.500  0.273 x2

Computed properties:
uncorrected energy	-32.7	eV/cell
M_tot	0.03	μB/f.u.
energy of formation	57	meV per atom
theoretical density	12.886	g cm⁻³

=====

[9]
Here is a relaxed Dy3Te2H crystal from Alexandria via LeMat-Bulk. Energies are from PBE-GGA.

Cell lengths 14.324, 7.971, 6.021 Å; angles 90.00, 90.00, 90.00 degrees
Space group Cmc2_1 (No. 36)
Symmetry-distinct sites (fractional):
Dy  0.000  0.100  0.000 x4
Dy  0.138  0.254  0.507 x8
Te  0.158  0.356  0.007 x8
H  0.000  0.163  0.366 x4

Computed properties:
uncorrected energy	-113.4	eV/cell
M_tot	0.29	μB/f.u.
theoretical density	7.186	g cm⁻³

=====

[10]
Here is a relaxed YCd2Os crystal from Alexandria via LeMat-Bulk. Energies are from PBE-GGA.

Cell lengths 4.205, 4.205, 9.117 Å; angles 90.00, 90.00, 90.00 degrees
Space group I4/mmm (No. 139)
Symmetry-distinct sites (fractional):
Y  0.000  0.000  0.000 x2
Cd  0.000  0.500  0.250 x4
Os  0.000  0.000  0.500 x2

Computed properties:
uncorrected energy	-38.8	eV/cell
M_tot	0.00	μB/f.u.
energy of formation	28	meV per atom
theoretical density	10.380	g cm⁻³

=====

[11]
Here is a relaxed Sr2ZrMnS5 crystal from Alexandria via LeMat-Bulk. Energies are from PBE-GGA.

Cell lengths 3.944, 17.231, 12.422 Å; angles 90.00, 90.00, 90.00 degrees
Space group Cmc2_1 (No. 36)
Symmetry-distinct sites (fractional):
Sr  0.000  0.106  0.000 x4
Sr  0.000  0.125  0.637 x4
Zr  0.000  0.210  0.345 x4
Mn  0.000  0.437  0.765 x4
S  0.000  0.060  0.373 x4
S  0.000  0.283  0.984 x4
S  0.000  0.304  0.702 x4
S  0.000  0.356  0.325 x4
S  0.000  0.500  0.101 x4

Computed properties:
uncorrected energy	-224.0	eV/cell
M_tot	4.98	μB/f.u.
theoretical density	3.790	g cm⁻³

=====

[12]
Here is a relaxed LiCeTmPb crystal from Alexandria via LeMat-Bulk. Energies are from PBE-GGA.

Cell lengths 7.560, 7.560, 7.560 Å; angles 90.00, 90.00, 90.00 degrees
Space group F-43m (No. 216)
Symmetry-distinct sites (fractional):
Li  0.000  0.000  0.000 x4
Ce  0.250  0.250  0.250 x4
Tm  0.250  0.250  0.750 x4
Pb  0.000  0.000  0.500 x4

Computed properties:
uncorrected energy	-66.7	eV/cell
M_tot	1.39	μB/f.u.
energy of formation	-160	meV per atom
theoretical density	8.044	g cm⁻³